The following is a DFT calculation (PBE+U) of crystalline Ac2MnTl3O6 at its relaxed geometry.

Cell lengths 6.2887, 6.2887, 7.2923 Å; angles 103.57, 103.57, 114.37 degrees
Closest atoms and distances in Å follow each position.
Atoms (fractional coordinates):
Ac 0.1685 0.8315 0.0000  6 O 2.47-2.62
Ac 0.8315 0.1685 0.0000  6 O 2.47-2.62
Mn 0.5000 0.5000 0.0000  4 O 1.96
Tl 0.0000 0.0000 0.5000  6 O 2.89-2.94
Tl 0.3424 0.6576 0.5000  2 O 2.49
Tl 0.6576 0.3424 0.5000  2 O 2.49
O 0.1512 0.4215 0.8730  1 Mn 1.96
O 0.2459 0.2459 0.2621  2 Tl 2.49, 2 Ac 2.62
O 0.4215 0.1512 0.8730  1 Mn 1.96
O 0.5785 0.8488 0.1270  1 Mn 1.96
O 0.7541 0.7541 0.7379  2 Tl 2.49, 2 Ac 2.62
O 0.8488 0.5785 0.1270  1 Mn 1.96

Summary:
The total magnetization comes out at 3.976 μB/cell. As for the space-group type: No. 12. The calculation puts the total energy at -6.1972 eV/atom.

---

The following is a DFT calculation (PBE+U) of crystalline AcMn2TlO6 at its relaxed geometry.

Cell lengths 5.6258, 5.6258, 5.6849 Å; angles 120.32, 120.32, 59.22 degrees
Closest atoms and distances in Å follow each position.
Atoms (fractional coordinates):
Ac 0.0000 0.0000 0.0000  5 O 2.44-2.63
Mn 0.2582 0.2474 0.7527  6 O 2.00-2.12
Mn 0.7526 0.7418 0.2473  6 O 2.00-2.12
Tl 0.5287 0.4713 0.5000  5 O 2.24-2.40
O 0.1259 0.8741 0.5000  2 Mn 2.12, 1 Tl 2.24
O 0.4391 0.5609 0.0000  2 Mn 2.00
O 0.5408 0.0584 0.5356  2 Mn 2.03
O 0.5406 0.0589 0.0655  2 Mn 2.03
O 0.9411 0.4594 0.9345  2 Mn 2.03
O 0.9416 0.4592 0.4644  2 Mn 2.03

Summary:
The total magnetization comes out at 7.973 μB/cell. As for the space-group type: No. 5. The calculation puts the total energy at -6.9223 eV/atom.

---

The following is a DFT calculation (PBE+U) of crystalline AcUMnO6 at its relaxed geometry.

Cell lengths 5.2244, 5.2244, 10.1747 Å; angles 90.00, 90.00, 90.00 degrees
Closest atoms and distances in Å follow each position.
Atoms (fractional coordinates):
Ac 0.0000 0.0000 0.0000  6 O 2.42-2.53
Ac 0.5000 0.5000 0.5000  6 O 2.42-2.53
U 0.0000 0.0000 0.6555  6 O 2.00-2.23
U 0.5000 0.5000 0.1555  6 O 2.00-2.23
Mn 0.0000 0.0000 0.3261  4 O 2.01-2.05
Mn 0.5000 0.5000 0.8261  4 O 2.01-2.05
O 0.1654 0.1654 0.4833  1 Mn 2.01, 1 U 2.14
O 0.1911 0.1911 0.7941  1 U 2.00
O 0.2016 0.2016 0.1873  1 Mn 2.05, 1 U 2.23
O 0.2984 0.7016 0.6873  1 Mn 2.05, 1 U 2.23
O 0.3089 0.6911 0.2941  1 U 2.00
O 0.3346 0.6654 0.9833  1 Mn 2.01, 1 U 2.14
O 0.6654 0.3346 0.9833  1 Mn 2.01, 1 U 2.14
O 0.6911 0.3089 0.2941  1 U 2.00
O 0.7016 0.2984 0.6873  1 Mn 2.05, 1 U 2.23
O 0.7984 0.7984 0.1873  1 Mn 2.05, 1 U 2.23
O 0.8089 0.8089 0.7941  1 U 2.00
O 0.8346 0.8346 0.4833  1 Mn 2.01, 1 U 2.14

Summary:
The total magnetization comes out at 7.951 μB/cell. As for the space-group type: No. 102. The calculation puts the total energy at -8.5434 eV/atom.

---

The following is a DFT calculation (PBE+U) of crystalline AcMn2VO8 at its relaxed geometry.

Cell lengths 4.7499, 4.9792, 6.9227 Å; angles 76.87, 80.53, 78.31 degrees
Closest atoms and distances in Å follow each position.
Atoms (fractional coordinates):
Ac 0.0000 0.0000 0.0000  6 O 2.47-2.70
Mn 0.4507 0.4503 0.2314  5 O 1.85-2.00
Mn 0.5493 0.5497 0.7686  5 O 1.85-2.00
V 0.0000 0.0000 0.5000  6 O 1.82-1.96
O 0.1712 0.7383 0.7247  1 Mn 1.89, 1 V 1.96
O 0.2057 0.7664 0.3138  1 Mn 1.90, 1 V 1.94
O 0.2892 0.2064 0.4446  1 V 1.82, 1 Mn 1.85
O 0.4248 0.2796 0.0135  2 Mn 1.92-2.00
O 0.5752 0.7204 0.9865  2 Mn 1.92-2.00
O 0.7108 0.7936 0.5554  1 V 1.82, 1 Mn 1.85
O 0.7943 0.2336 0.6862  1 Mn 1.90, 1 V 1.94
O 0.8288 0.2617 0.2753  1 Mn 1.89, 1 V 1.96

Summary:
The total magnetization comes out at 6.000 μB/cell. As for the space-group type: No. 2. The calculation puts the total energy at -7.2406 eV/atom.

---

The following is a DFT calculation (PBE+U) of crystalline Ac2MnVO6 at its relaxed geometry.

Cell lengths 5.7178, 5.7178, 4.1928 Å; angles 90.00, 90.00, 90.00 degrees
Closest atoms and distances in Å follow each position.
Atoms (fractional coordinates):
Ac 0.0000 0.5000 0.0000  8 O 2.60-2.89
Ac 0.5000 0.0000 0.0000  8 O 2.60-2.89
Mn 0.0000 0.0000 0.5537  6 O 2.04-2.16
V 0.5000 0.5000 0.5237  5 O 1.80-1.95
O 0.0000 0.0000 0.0683  2 Mn 2.04-2.16
O 0.2637 0.2637 0.6105  1 V 1.95, 1 Mn 2.15
O 0.2637 0.7363 0.6105  1 V 1.95, 1 Mn 2.15
O 0.5000 0.5000 0.0939  1 V 1.80
O 0.7363 0.2637 0.6105  1 V 1.95, 1 Mn 2.15
O 0.7363 0.7363 0.6105  1 V 1.95, 1 Mn 2.15

Summary:
The total magnetization comes out at 6.000 μB/cell. As for the space-group type: No. 99. The calculation puts the total energy at -7.9293 eV/atom.

---

The following is a DFT calculation (PBE+U) of crystalline AcMnWO6 at its relaxed geometry.

Cell lengths 5.9033, 5.9033, 8.2462 Å; angles 90.00, 90.00, 120.00 degrees
Closest atoms and distances in Å follow each position.
Atoms (fractional coordinates):
Ac 0.3333 0.6667 0.2500  6 O 2.53
Ac 0.6667 0.3333 0.7500  6 O 2.53
Mn 0.0000 0.0000 0.0000  6 O 2.26
Mn 0.0000 0.0000 0.5000  6 O 2.26
W 0.3333 0.6667 0.7500  6 O 1.95
W 0.6667 0.3333 0.2500  6 O 1.95
O 0.0742 0.3755 0.6197  1 W 1.95
O 0.0742 0.6986 0.8803  1 W 1.95
O 0.3014 0.3755 0.8803  1 W 1.95
O 0.3014 0.9258 0.6197  1 W 1.95
O 0.3755 0.0742 0.1197  1 W 1.95
O 0.3755 0.3014 0.3803  1 W 1.95
O 0.6245 0.6986 0.6197  1 W 1.95
O 0.6245 0.9258 0.8803  1 W 1.95
O 0.6986 0.0742 0.3803  1 W 1.95
O 0.6986 0.6245 0.1197  1 W 1.95
O 0.9258 0.3014 0.1197  1 W 1.95
O 0.9258 0.6245 0.3803  1 W 1.95

Summary:
The total magnetization comes out at 7.969 μB/cell. As for the space-group type: No. 163. The calculation puts the total energy at -7.4900 eV/atom.

---

Copy entry 1 word for word.
The following is a DFT calculation (PBE+U) of crystalline Ac2MnTl3O6 at its relaxed geometry.

Cell lengths 6.2887, 6.2887, 7.2923 Å; angles 103.57, 103.57, 114.37 degrees
Closest atoms and distances in Å follow each position.
Atoms (fractional coordinates):
Ac 0.1685 0.8315 0.0000  6 O 2.47-2.62
Ac 0.8315 0.1685 0.0000  6 O 2.47-2.62
Mn 0.5000 0.5000 0.0000  4 O 1.96
Tl 0.0000 0.0000 0.5000  6 O 2.89-2.94
Tl 0.3424 0.6576 0.5000  2 O 2.49
Tl 0.6576 0.3424 0.5000  2 O 2.49
O 0.1512 0.4215 0.8730  1 Mn 1.96
O 0.2459 0.2459 0.2621  2 Tl 2.49, 2 Ac 2.62
O 0.4215 0.1512 0.8730  1 Mn 1.96
O 0.5785 0.8488 0.1270  1 Mn 1.96
O 0.7541 0.7541 0.7379  2 Tl 2.49, 2 Ac 2.62
O 0.8488 0.5785 0.1270  1 Mn 1.96

Summary:
The total magnetization comes out at 3.976 μB/cell. As for the space-group type: No. 12. The calculation puts the total energy at -6.1972 eV/atom.